Record 1
{
  "formula": "Cr2Br",
  "functional": "SCAN",
  "state": "PBEsol geometry",
  "dos_at_fermi_per_ev_fu": 1.0,
  "formation_energy_uncorrected_ev_per_atom": 0.175,
  "m_tot_mub_per_fu": 0.57,
  "lattice": [[3.033, 0.000, 0.000], [0.000, 4.733, -0.033], [-1.516, -1.288, 8.126]],
  "species": ["Br", "Cr", "Cr", "Br", "Cr", "Cr"],
  "frac_coords": [[0.407, 0.698, 0.815], [0.204, 0.667, 0.407], [0.197, 0.112, 0.395], [0.593, 0.302, 0.185], [0.796, 0.333, 0.593], [0.803, 0.888, 0.605]]
}



Record 2
{
  "formula": "CrBr2",
  "functional": "SCAN",
  "state": "PBEsol geometry",
  "dos_at_fermi_per_ev_fu": 0.4,
  "formation_energy_uncorrected_ev_per_atom": -0.953,
  "m_tot_mub_per_fu": 4.00,
  "lattice": [[3.776, 0.000, 0.000], [0.000, 6.281, 0.000], [0.000, 0.000, 6.281]],
  "species": ["Cr", "Br", "Cr", "Br", "Br", "Br"],
  "frac_coords": [[0.500, 0.500, 0.500], [0.500, 0.194, 0.806], [0.000, 0.000, 0.000], [0.000, 0.306, 0.306], [0.000, 0.694, 0.694], [0.500, 0.806, 0.194]]
}



Record 3
{
  "formula": "Cs3Cr2Br9",
  "functional": "SCAN",
  "state": "PBEsol geometry",
  "dos_at_fermi_per_ev_fu": 0.0,
  "formation_energy_uncorrected_ev_per_atom": -1.549,
  "m_tot_mub_per_fu": 5.95,
  "lattice": [[-5.756, -3.407, 3.316], [2.909, -2.832, -6.265], [11.923, -10.249, 10.168]],
  "species": ["Br", "Cr", "Br", "Br", "Br", "Br", "Br", "Cs", "Br", "Cs", "Cr", "Cs", "Cr", "Cs", "Br", "Br", "Cs", "Cr", "Br", "Br", "Br", "Cs", "Br", "Br", "Br", "Br", "Br", "Br"],
  "frac_coords": [[0.970, 0.485, 0.250], [0.333, 0.667, 0.662], [0.825, 0.649, 0.092], [0.175, 0.351, 0.592], [0.175, 0.351, 0.908], [0.825, 0.649, 0.408], [0.485, 0.970, 0.750], [0.667, 0.333, 0.928], [0.515, 0.030, 0.250], [0.667, 0.333, 0.572], [0.667, 0.333, 0.338], [0.333, 0.667, 0.428], [0.667, 0.333, 0.162], [0.333, 0.667, 0.072], [0.485, 0.515, 0.750], [0.175, 0.825, 0.908], [0.000, 0.000, 0.250], [0.333, 0.667, 0.838], [0.825, 0.175, 0.092], [0.649, 0.825, 0.908], [0.825, 0.175, 0.408], [0.000, 0.000, 0.750], [0.351, 0.175, 0.408], [0.351, 0.175, 0.092], [0.030, 0.515, 0.750], [0.649, 0.825, 0.592], [0.515, 0.485, 0.250], [0.175, 0.825, 0.592]]
}



Record 4
{
  "formula": "CsCrBr3",
  "functional": "SCAN",
  "state": "PBEsol geometry",
  "dos_at_fermi_per_ev_fu": 0.9,
  "formation_energy_uncorrected_ev_per_atom": -1.430,
  "m_tot_mub_per_fu": 4.00,
  "lattice": [[-4.178, -0.609, 3.095], [3.029, -2.204, 3.656], [0.878, 4.709, 2.112]],
  "species": ["Br", "Cs", "Br", "Cr", "Br"],
  "frac_coords": [[0.500, 0.000, 0.000], [0.500, 0.500, 0.500], [0.000, 0.000, 0.500], [0.000, 0.000, 0.000], [0.000, 0.500, 0.000]]
}



Record 5
{
  "formula": "CsCrBr3",
  "functional": "SCAN",
  "state": "PBEsol geometry",
  "dos_at_fermi_per_ev_fu": 2.7,
  "formation_energy_uncorrected_ev_per_atom": -1.414,
  "m_tot_mub_per_fu": 4.00,
  "lattice": [[6.300, 0.000, 0.000], [0.000, 7.453, 0.000], [0.000, -3.726, 6.454]],
  "species": ["Br", "Br", "Br", "Br", "Cr", "Br", "Cs", "Br", "Cs", "Cr"],
  "frac_coords": [[0.238, 0.162, 0.324], [0.738, 0.324, 0.162], [0.738, 0.838, 0.162], [0.238, 0.676, 0.838], [0.988, 0.000, 0.000], [0.238, 0.162, 0.838], [0.239, 0.667, 0.333], [0.738, 0.838, 0.676], [0.739, 0.333, 0.667], [0.488, 0.000, 0.000]]
}



Record 6
{
  "formula": "CrCu2Br",
  "functional": "SCAN",
  "state": "PBEsol geometry",
  "dos_at_fermi_per_ev_fu": 1.5,
  "formation_energy_uncorrected_ev_per_atom": 0.195,
  "m_tot_mub_per_fu": 4.35,
  "lattice": [[-2.826, -0.772, 1.196], [1.114, -2.890, 0.766], [1.236, 3.602, 5.244]],
  "species": ["Cu", "Br", "Cr", "Cu"],
  "frac_coords": [[0.000, 0.944, 0.015], [0.000, 0.699, 0.520], [0.500, 0.331, 0.784], [0.500, 0.527, 0.182]]
}



Record 7
{
  "formula": "CrCu2Br",
  "functional": "SCAN",
  "state": "PBEsol geometry",
  "dos_at_fermi_per_ev_fu": 1.4,
  "formation_energy_uncorrected_ev_per_atom": 0.443,
  "m_tot_mub_per_fu": 4.26,
  "lattice": [[3.057, 0.000, 0.000], [0.000, 4.163, 0.000], [-1.528, -2.081, 4.749]],
  "species": ["Cu", "Cu", "Br", "Cr"],
  "frac_coords": [[0.744, 0.744, 0.487], [0.256, 0.256, 0.513], [0.500, 0.000, 0.000], [0.000, 0.500, 0.000]]
}



Record 8
{
  "formula": "CrCuBr2",
  "functional": "SCAN",
  "state": "PBEsol geometry",
  "dos_at_fermi_per_ev_fu": 0.5,
  "formation_energy_uncorrected_ev_per_atom": -0.264,
  "m_tot_mub_per_fu": 5.00,
  "lattice": [[-1.561, -2.337, 2.576], [3.033, -2.356, -0.299], [2.511, 3.486, 4.684]],
  "species": ["Cr", "Cu", "Br", "Br"],
  "frac_coords": [[0.000, 0.516, 0.571], [0.500, 0.040, 0.684], [0.500, 0.752, 0.340], [0.000, 0.192, 0.905]]
}



Record 9
{
  "formula": "CrCuBr2",
  "functional": "SCAN",
  "state": "PBEsol geometry",
  "dos_at_fermi_per_ev_fu": 2.3,
  "formation_energy_uncorrected_ev_per_atom": 0.081,
  "m_tot_mub_per_fu": 4.99,
  "lattice": [[4.744, 0.000, 0.000], [2.372, 4.108, 0.000], [2.372, 1.369, 3.873]],
  "species": ["Br", "Cu", "Br", "Cr"],
  "frac_coords": [[0.750, 0.750, 0.750], [0.500, 0.500, 0.500], [0.250, 0.250, 0.250], [0.000, 0.000, 0.000]]
}



Record 10
{
  "formula": "CrCuPb2Br",
  "functional": "SCAN",
  "state": "PBEsol geometry",
  "dos_at_fermi_per_ev_fu": 1.8,
  "formation_energy_uncorrected_ev_per_atom": 0.281,
  "m_tot_mub_per_fu": 4.85,
  "lattice": [[-4.950, 0.413, 0.269], [-0.504, -4.079, -3.028], [-0.031, -3.040, 4.101]],
  "species": ["Pb", "Pb", "Br", "Cr", "Cu"],
  "frac_coords": [[0.000, 0.500, 0.000], [0.000, 0.000, 0.500], [0.500, 0.500, 0.500], [0.500, 0.000, 0.000], [0.000, 0.000, 0.000]]
}



Record 11
{
  "formula": "CrCuSe2Br",
  "functional": "SCAN",
  "state": "PBEsol geometry",
  "dos_at_fermi_per_ev_fu": 4.8,
  "formation_energy_uncorrected_ev_per_atom": 0.316,
  "m_tot_mub_per_fu": 3.65,
  "lattice": [[-0.335, 3.247, -3.437], [1.554, -3.179, -3.154], [-4.550, -1.376, -0.856]],
  "species": ["Br", "Cu", "Cr", "Se", "Se"],
  "frac_coords": [[0.000, 0.000, 0.500], [0.000, 0.000, 0.000], [0.500, 0.500, 0.500], [0.500, 0.000, 0.000], [0.000, 0.500, 0.000]]
}



Record 12
{
  "formula": "CrBrOF2",
  "functional": "SCAN",
  "state": "PBEsol geometry",
  "dos_at_fermi_per_ev_fu": 1.8,
  "formation_energy_uncorrected_ev_per_atom": -1.511,
  "m_tot_mub_per_fu": 1.00,
  "lattice": [[-3.606, -0.818, 1.675], [1.721, -0.061, 3.676], [-0.650, 3.607, 0.364]],
  "species": ["Br", "Cr", "F", "F", "O"],
  "frac_coords": [[0.500, 0.500, 0.500], [0.000, 0.000, 0.000], [0.000, 0.500, 0.000], [0.500, 0.000, 0.000], [0.000, 0.000, 0.500]]
}